No. 1
Computed, not measured: crystalline NaSc2Pt at its relaxed geometry at the PBE level of DFT.

Lattice parameters (Å, degrees): 7.9132 7.9132 6.4013 51.82 51.82 90.00
With the nearest neighbours (Å) after each atom.
Atoms (fractional coordinates):
Sc: 0.6864 0.1250 0.2500  2 Pt 2.60
Sc: 0.0636 0.6250 0.2500  2 Pt 2.60
Sc: 0.3750 0.3136 0.7500  2 Pt 2.60
Sc: 0.8750 0.9364 0.7500  2 Pt 2.60
Na: 0.5000 0.5000 0.0000  2 Pt 3.11, 8 Sc 3.25-3.40
Na: 0.2500 0.7500 0.5000  2 Pt 3.11, 8 Sc 3.25-3.40
Pt: 0.0000 0.0000 0.0000  4 Sc 2.60
Pt: 0.7500 0.2500 0.5000  4 Sc 2.60

Properties
Its crystal system is tetragonal. The formation energy comes out at -0.1802 eV/atom. The calculation puts the spin magnetization at 2.0 μB/cell.


No. 2
Computed, not measured: crystalline HoEr2Ir2 at its relaxed geometry at the PBE level of DFT.

Lattice parameters (Å, degrees): 4.3490 5.4867 11.1142 112.97 90.00 90.00
With the nearest neighbours (Å) after each atom.
Atoms (fractional coordinates):
Ho: 0.2500 0.8098 0.2080  5 Ir 2.87-2.92
Ho: 0.7500 0.1902 0.7920  5 Ir 2.87-2.92
Er: 0.2500 0.7719 0.8817  5 Ir 2.76-3.05
Er: 0.7500 0.2281 0.1183  5 Ir 2.76-3.05
Er: 0.2500 0.2802 0.5309  4 Ir 2.81-3.01
Er: 0.7500 0.7198 0.4691  4 Ir 2.81-3.01
Ir: 0.2500 0.8761 0.6422  5 Er 2.81-3.01, 2 Ho 2.87
Ir: 0.7500 0.1239 0.3578  5 Er 2.81-3.01, 2 Ho 2.87
Ir: 0.2500 0.3172 0.9748  4 Er 2.76-3.05, 2 Ir 2.86, 3 Ho 2.87-2.92
Ir: 0.7500 0.6828 0.0252  4 Er 2.76-3.05, 2 Ir 2.86, 3 Ho 2.87-2.92

Properties
Its crystal system is monoclinic. The formation energy comes out at -0.7707 eV/atom. The calculation puts the spin magnetization at 0.0 μB/cell.


No. 3
Computed, not measured: crystalline ScMo2Os at its relaxed geometry at the PBE level of DFT.

Lattice parameters (Å, degrees): 9.4250 9.4250 9.4250 17.53 17.53 17.53
With the nearest neighbours (Å) after each atom.
Atoms (fractional coordinates):
Mo: 0.9978 0.9978 0.9978  9 Mo 2.87-2.88, 3 Sc 2.95
Mo: 0.2464 0.2464 0.2464  3 Os 2.69, 9 Mo 2.87-2.88
Os: 0.5036 0.5036 0.5036  3 Mo 2.69, 6 Os 2.87, 3 Sc 2.88
Sc: 0.7522 0.7522 0.7522  6 Sc 2.87, 3 Os 2.88, 3 Mo 2.95

Properties
Its crystal system is trigonal. The formation energy comes out at 0.2491 eV/atom. The calculation puts the spin magnetization at 0.0 μB/cell.


No. 4
Computed, not measured: crystalline NdZnInCo at its relaxed geometry at the PBE level of DFT.

Lattice parameters (Å, degrees): 4.8186 4.8186 4.8186 60.00 60.00 60.00
With the nearest neighbours (Å) after each atom.
Atoms (fractional coordinates):
Co: 0.2500 0.2500 0.2500  4 In 2.95, 4 Nd 2.95
Zn: 0.7500 0.7500 0.7500  4 In 2.95, 4 Nd 2.95
Nd: 0.0000 0.0000 0.0000  4 Co 2.95, 4 Zn 2.95
In: 0.5000 0.5000 0.5000  4 Co 2.95, 4 Zn 2.95

Properties
Its crystal system is cubic. The formation energy comes out at -0.1102 eV/atom. The calculation puts the spin magnetization at 1.2 μB/cell.